1.
Li3TiAs | GGA-PBE | optimized geometry

abc: 4.575 4.575 4.575
angles: 90.00 90.00 90.00
Element x y z (fractional)
Li1 0.000 0.000 0.500
Li2 0.000 0.500 0.000
Li3 0.500 0.000 0.000
Ti1 0.500 0.500 0.500
As1 0.000 0.000 0.000

Offset from the most stable computed form in eV per formula unit: 0.00
D(E_F) in states/eV/f.u.: 10.9
Magnetic moment in μB/atom: 0.000



2.
LiTi5As4 | GGA-PBE | optimized geometry

abc: 7.212 7.212 7.212
angles: 150.88 110.54 77.03
Element x y z (fractional)
Li1 0.000 0.000 0.000
Ti1 0.041 0.349 0.692
Ti2 0.344 0.651 0.692
Ti3 0.500 0.500 0.000
Ti4 0.656 0.349 0.308
Ti5 0.959 0.651 0.308
As1 0.257 0.257 0.000
As2 0.286 0.000 0.286
As3 0.714 0.000 0.714
As4 0.743 0.743 0.000

VASP energy in eV/atom: -6.723
D(E_F) in states/eV/f.u.: 8.2
Magnetic moment in μB/atom: 0.000



3.
Li2TiAs2 | GGA-PBE | optimized geometry

abc: 7.293 7.293 2.982
angles: 90.00 90.00 90.00
Element x y z (fractional)
Li1 0.123 0.377 0.000
Li2 0.377 0.877 0.000
Li3 0.623 0.123 0.000
Li4 0.877 0.623 0.000
Ti1 0.000 0.000 0.500
Ti2 0.500 0.500 0.500
As1 0.178 0.678 0.500
As2 0.322 0.178 0.500
As3 0.678 0.822 0.500
As4 0.822 0.322 0.500

VASP energy in eV/atom: -4.683
D(E_F) in states/eV/f.u.: 3.5
Magnetic moment in μB/atom: 0.000



4.
LiTiAs2 | GGA-PBE | optimized geometry

abc: 3.396 3.396 5.833
angles: 90.00 90.00 90.00
Element x y z (fractional)
Li1 0.000 0.000 0.000
Ti1 0.000 0.000 0.500
As1 0.500 0.500 0.269
As2 0.500 0.500 0.731

Offset from the most stable computed form in eV per formula unit: 0.30
D(E_F) in states/eV/f.u.: 2.4
Magnetic moment in μB/atom: 0.229



5.
LiTiAs2 | GGA-PBE | optimized geometry

abc: 7.457 7.457 7.457
angles: 26.52 26.52 26.52
Element x y z (fractional)
Li1 0.000 0.000 0.000
Ti1 0.500 0.500 0.500
As1 0.245 0.245 0.245
As2 0.755 0.755 0.755

Offset from the most stable computed form in eV per formula unit: 0.06
D(E_F) in states/eV/f.u.: 0.9
Magnetic moment in μB/atom: 0.000



6.
LiTi2As3 | GGA-PBE | optimized geometry

abc: 6.291 6.291 8.944
angles: 90.00 90.00 140.89
Element x y z (fractional)
Li1 0.192 0.808 0.750
Li2 0.808 0.192 0.250
Ti1 0.000 0.000 0.000
Ti2 0.000 0.000 0.500
Ti3 0.460 0.540 0.750
Ti4 0.540 0.460 0.250
As1 0.144 0.856 0.250
As2 0.375 0.625 0.059
As3 0.375 0.625 0.441
As4 0.625 0.375 0.559
As5 0.625 0.375 0.941
As6 0.856 0.144 0.750

VASP energy in eV/atom: -5.843
D(E_F) in states/eV/f.u.: 3.8
Magnetic moment in μB/atom: 0.000



7.
LiTiAs2 | GGA-PBE | optimized geometry

abc: 4.553 4.553 4.553
angles: 60.00 60.00 60.00
Element x y z (fractional)
Li1 0.000 0.000 0.000
Ti1 0.500 0.500 0.500
As1 0.250 0.250 0.250
As2 0.750 0.750 0.750

Offset from the most stable computed form in eV per formula unit: 0.80
D(E_F) in states/eV/f.u.: 2.5
Magnetic moment in μB/atom: 0.000



8.
LiTl3As | GGA-PBE | optimized geometry

abc: 5.142 5.142 5.142
angles: 90.00 90.00 90.00
Element x y z (fractional)
Li1 0.000 0.000 0.000
Tl1 0.000 0.000 0.500
Tl2 0.000 0.500 0.000
Tl3 0.500 0.000 0.000
As1 0.500 0.500 0.500

Offset from the most stable computed form in eV per formula unit: 0.00
D(E_F) in states/eV/f.u.: 3.8
Magnetic moment in μB/atom: 0.000



9.
Li2TlAs | GGA-PBE | optimized geometry

abc: 4.419 4.419 6.361
angles: 98.12 98.12 41.93
Element x y z (fractional)
Li1 0.235 0.235 0.178
Li2 0.765 0.765 0.822
Tl1 0.000 0.000 0.500
As1 0.500 0.500 0.000

VASP energy in eV/atom: -3.049
D(E_F) in states/eV/f.u.: 0.5
Magnetic moment in μB/atom: 0.000



10.
LiTlAs | GGA-PBE | optimized geometry

abc: 4.443 4.443 3.932
angles: 90.00 90.00 120.00
Element x y z (fractional)
Li1 0.000 0.000 0.000
Tl1 0.333 0.667 0.500
As1 0.667 0.333 0.002

Offset from the most stable computed form in eV per formula unit: 0.38
D(E_F) in states/eV/f.u.: 0.9
Magnetic moment in μB/atom: 0.000



11.
LiTl2As2 | GGA-PBE | optimized geometry

abc: 7.571 7.571 7.571
angles: 145.27 145.27 49.93
Element x y z (fractional)
Li1 0.000 0.000 0.000
Tl1 0.250 0.750 0.500
Tl2 0.750 0.250 0.500
As1 0.413 0.413 0.000
As2 0.587 0.587 0.000

Offset from the most stable computed form in eV per formula unit: 0.86
D(E_F) in states/eV/f.u.: 3.2
Magnetic moment in μB/atom: 0.000



12.
Li2TlAs | GGA-PBE | optimized geometry

abc: 9.383 9.383 9.383
angles: 20.10 20.10 20.10
Element x y z (fractional)
Li1 0.000 0.000 0.000
Li2 0.243 0.243 0.243
Tl1 0.494 0.494 0.494
As1 0.735 0.735 0.735

VASP energy in eV/atom: -2.737
D(E_F) in states/eV/f.u.: 1.9
Magnetic moment in μB/atom: 0.000



13.
Li2TlAs | GGA-PBE | optimized geometry

abc: 3.158 3.483 7.004
angles: 90.00 90.00 90.00
Element x y z (fractional)
Li1 0.000 0.000 0.200
Li2 0.000 0.000 0.800
Tl1 0.500 0.500 0.500
As1 0.500 0.500 0.000

VASP energy in eV/atom: -3.060
D(E_F) in states/eV/f.u.: 0.8
Magnetic moment in μB/atom: 0.000



14.
Li3TlAs | GGA-PBE | optimized geometry

abc: 6.346 4.263 7.351
angles: 90.00 108.58 90.00
Element x y z (fractional)
Li1 0.076 0.250 0.139
Li2 0.139 0.750 0.555
Li3 0.406 0.750 0.917
Li4 0.594 0.250 0.083
Li5 0.861 0.250 0.445
Li6 0.924 0.750 0.861
Tl1 0.431 0.750 0.324
Tl2 0.569 0.250 0.676
As1 0.165 0.250 0.796
As2 0.835 0.750 0.204

Offset from the most stable computed form in eV per formula unit: 0.00
D(E_F) in states/eV/f.u.: 1.4
Magnetic moment in μB/atom: 0.000



15.
LiTl4As | GGA-PBE | optimized geometry

abc: 6.347 6.347 6.347
angles: 60.00 60.00 60.00
Element x y z (fractional)
Li1 0.000 0.000 0.000
Tl1 0.127 0.624 0.624
Tl2 0.624 0.127 0.624
Tl3 0.624 0.624 0.127
Tl4 0.624 0.624 0.624
As1 0.250 0.250 0.250

VASP energy in eV/atom: -2.449
D(E_F) in states/eV/f.u.: 3.6
Magnetic moment in μB/atom: 0.000



16.
Li2TlAs | GGA-PBE | optimized geometry

abc: 5.355 5.355 5.355
angles: 134.04 133.95 67.09
Element x y z (fractional)
Li1 0.000 0.000 0.000
Li2 0.749 0.249 0.500
Tl1 0.251 0.751 0.500
As1 0.501 0.501 0.000

VASP energy in eV/atom: -3.017
D(E_F) in states/eV/f.u.: 0.8
Magnetic moment in μB/atom: 0.000



17.
Li2TlAs | GGA-PBE | optimized geometry

abc: 5.858 5.858 5.858
angles: 43.91 43.91 43.91
Element x y z (fractional)
Li1 0.000 0.000 0.000
Li2 0.257 0.257 0.257
Tl1 0.452 0.452 0.452
As1 0.642 0.642 0.642

VASP energy in eV/atom: -3.090
D(E_F) in states/eV/f.u.: 1.2
Magnetic moment in μB/atom: 0.000



18.
LiTl2As2 | GGA-PBE | optimized geometry

abc: 6.963 6.963 5.108
angles: 90.00 90.00 90.00
Element x y z (fractional)
Li1 0.000 0.000 0.000
Li2 0.500 0.500 0.000
Tl1 0.188 0.312 0.500
Tl2 0.312 0.812 0.500
Tl3 0.688 0.188 0.500
Tl4 0.812 0.688 0.500
As1 0.124 0.624 0.000
As2 0.376 0.124 0.000
As3 0.624 0.876 0.000
As4 0.876 0.376 0.000

Offset from the most stable computed form in eV per formula unit: 0.09
D(E_F) in states/eV/f.u.: 2.5
Magnetic moment in μB/atom: 0.000



19.
LiTlAs | GGA-PBE | optimized geometry

abc: 4.507 4.507 4.507
angles: 60.00 60.00 60.00
Element x y z (fractional)
Li1 0.000 0.000 0.000
Tl1 0.250 0.250 0.250
As1 0.750 0.750 0.750

Offset from the most stable computed form in eV per formula unit: 0.49
D(E_F) in states/eV/f.u.: 1.1
Magnetic moment in μB/atom: 0.000



20.
LiTlAs | GGA-PBE | optimized geometry

abc: 6.650 6.646 3.413
angles: 75.19 75.07 29.75
Element x y z (fractional)
Li1 0.000 0.000 0.000
Tl1 0.266 0.266 0.734
As1 0.601 0.601 0.399

Offset from the most stable computed form in eV per formula unit: 0.49
D(E_F) in states/eV/f.u.: 1.6
Magnetic moment in μB/atom: 0.000



21.
LiTl2As2 | GGA-PBE | optimized geometry

abc: 9.006 9.006 9.006
angles: 155.39 155.39 35.09
Element x y z (fractional)
Li1 0.000 0.000 0.000
Tl1 0.399 0.399 0.000
Tl2 0.601 0.601 0.000
As1 0.250 0.750 0.500
As2 0.750 0.250 0.500

Offset from the most stable computed form in eV per formula unit: 0.86
D(E_F) in states/eV/f.u.: 2.1
Magnetic moment in μB/atom: 0.000



22.
Li4TlAs | GGA-PBE | optimized geometry

abc: 5.384 5.384 5.384
angles: 60.00 60.00 60.00
Element x y z (fractional)
Li1 0.376 0.376 0.376
Li2 0.376 0.376 0.873
Li3 0.376 0.873 0.376
Li4 0.873 0.376 0.376
Tl1 0.000 0.000 0.000
As1 0.750 0.750 0.750

VASP energy in eV/atom: -2.563
D(E_F) in states/eV/f.u.: 2.2
Magnetic moment in μB/atom: 0.063



23.
Li2TlAs | GGA-PBE | optimized geometry

abc: 9.402 9.402 9.402
angles: 152.80 152.80 38.85
Element x y z (fractional)
Li1 0.059 0.625 0.934
Li2 0.375 0.309 0.434
Li3 0.691 0.125 0.066
Li4 0.875 0.941 0.566
Tl1 0.250 0.750 0.500
Tl2 0.500 0.500 0.000
As1 0.000 0.000 0.000
As2 0.750 0.250 0.500

VASP energy in eV/atom: -2.875
D(E_F) in states/eV/f.u.: 1.5
Magnetic moment in μB/atom: 0.000



24.
Li2Tl2As | GGA-PBE | optimized geometry

abc: 6.742 6.742 5.064
angles: 90.00 90.00 90.00
Element x y z (fractional)
Li1 0.163 0.337 0.000
Li2 0.337 0.837 0.000
Li3 0.663 0.163 0.000
Li4 0.837 0.663 0.000
Tl1 0.178 0.678 0.500
Tl2 0.322 0.178 0.500
Tl3 0.678 0.822 0.500
Tl4 0.822 0.322 0.500
As1 0.000 0.000 0.000
As2 0.500 0.500 0.000

Offset from the most stable computed form in eV per formula unit: 0.00
D(E_F) in states/eV/f.u.: 1.5
Magnetic moment in μB/atom: 0.000



25.
Li3TlAs | GGA-PBE | optimized geometry

abc: 4.941 4.941 4.941
angles: 90.00 90.00 90.00
Element x y z (fractional)
Li1 0.000 0.000 0.500
Li2 0.000 0.500 0.000
Li3 0.500 0.000 0.000
Tl1 0.000 0.000 0.000
As1 0.500 0.500 0.500

Offset from the most stable computed form in eV per formula unit: 3.87
D(E_F) in states/eV/f.u.: 3.7
Magnetic moment in μB/atom: 0.000



26.
LiTl2As2 | GGA-PBE | optimized geometry

abc: 6.042 6.042 8.470
angles: 96.20 96.20 56.23
Element x y z (fractional)
Li1 0.170 0.830 0.750
Li2 0.830 0.170 0.250
Tl1 0.234 0.464 0.322
Tl2 0.464 0.234 0.822
Tl3 0.536 0.766 0.178
Tl4 0.766 0.536 0.678
As1 0.039 0.180 0.002
As2 0.180 0.039 0.502
As3 0.820 0.961 0.498
As4 0.961 0.820 0.998

Offset from the most stable computed form in eV per formula unit: 0.00
D(E_F) in states/eV/f.u.: 2.1
Magnetic moment in μB/atom: 0.000



27.
LiTl3As | GGA-PBE | optimized geometry

abc: 5.619 5.619 5.619
angles: 90.00 90.00 90.00
Element x y z (fractional)
Li1 0.000 0.000 0.000
Tl1 0.000 0.500 0.500
Tl2 0.500 0.000 0.500
Tl3 0.500 0.500 0.000
As1 0.500 0.500 0.500

Offset from the most stable computed form in eV per formula unit: 0.28
D(E_F) in states/eV/f.u.: 4.4
Magnetic moment in μB/atom: 0.000